This record from the Alexandria database describes AlPPt4 after structural relaxation. The functional is PBE.

Calculated values
Its total moment is 0.0000 μB/atom. The theoretical density is 13.6 g/cm³. The formation energy comes out at 183 meV/atom.

a b c (Å): 5.254 5.254 5.254
angles (deg): 60.00 60.00 60.00
Sites, in units of the cell vectors:
Al 0.000 0.000 0.000
P 0.750 0.750 0.750
Pt 0.375 0.375 0.375
Pt 0.375 0.375 0.875
Pt 0.375 0.875 0.375
Pt 0.875 0.375 0.375

This record from the Alexandria database describes ZrMnP3 after structural relaxation. The functional is PBE.

Calculated values
Its total moment is 0.1203 μB/atom. The theoretical density is 3.3 g/cm³. The formation energy comes out at 1178 meV/atom.

a b c (Å): 4.961 4.961 4.961
angles (deg): 90.00 90.00 90.00
Sites, in units of the cell vectors:
Zr 0.000 0.000 0.000
Mn 0.500 0.500 0.500
P 0.000 0.000 0.500
P 0.000 0.500 0.000
P 0.500 0.000 0.000

Total energy
In order: -32.22, -28.06
Unit: eV/f.u.